Computed, not measured: an optimized crystal structure of CeTmThSc at the PBE level of DFT.

As for the density of states at the Fermi level: 8.471 states/eV/f.u. The raw total energy comes out at -6.01 eV/atom. The calculation puts the energy of formation from the pure elements at 33 meV per atom. The theoretical density is 8448 kg/m³. As for the energy above the most stable polymorph in this dataset: 0.0 kJ per mole of atoms. The value obtained for the total magnetization is 0.0 μB/cell.

The space group is R3m (No. 160, hexagonal axes) and the conventional cell measures 3.4727, 3.4727 and 33.0873 Å, with angles of 90.00, 90.00 and 120.00 degrees. The distinct sites, in fractional coordinates, are Ce at (0.0000, 0.0000, 0.0000), Tm at (0.0000, 0.0000, 0.5801), Th at (0.0000, 0.0000, 0.4174) and Sc at (0.0000, 0.0000, 0.8324).